(1)
Tb6DyHo2Er3: relaxed, PBE.

The space group is C2/m (No. 12) and the conventional cell measures 6.1203, 10.5889 and 11.6888 Å, with angles of 90.00, 100.00 and 90.00 degrees. The asymmetric unit holds Tb at (0.2494, 0.1667, 0.2493), Tb at (0.2504, 0.0000, 0.7507), Dy at (0.0000, 0.5000, 0.5000), Ho at (0.0000, 0.1667, 0.5000), Er at (0.0000, 0.0000, 0.0000) and Er at (0.0000, 0.3333, 0.0000).

The energy relative to the elements comes out at 0.02 eV per atom. For the calculated total energy, the calculation gives -4.5855 eV/atom. The density comes out at 8.671 g cm⁻³.

---

(2)
ReSe2N: relaxed, PBE.

The space group is R-3m (No. 166, hexagonal axes) and the conventional cell measures 3.0110, 3.0110 and 23.5788 Å, with angles of 90.00, 90.00 and 120.00 degrees. The asymmetric unit holds Re at (0.0000, 0.0000, 0.0000), Se at (0.0000, 0.0000, 0.1023) and N at (0.0000, 0.0000, 0.5000).

For the calculated total energy, the calculation gives -5.5398 eV/atom. The density comes out at 9.637 g cm⁻³. For the formation energy from raw total energies, the calculation gives 1.396 eV/atom.

---

(3)
RbGaPbBr4: relaxed, PBE.

The space group is P2_1/m (No. 11) and the conventional cell measures 6.3000, 7.4671 and 11.0984 Å, with angles of 90.00, 98.99 and 90.00 degrees. The asymmetric unit holds Rb at (0.2406, 0.2500, 0.0667), Ga at (0.0162, 0.7500, 0.5709), Pb at (0.2399, 0.7500, 0.3353), Br at (0.1080, 0.0010, 0.7460), Br at (0.3047, 0.7500, 0.0767) and Br at (0.3919, 0.2500, 0.4026).

For the calculated total energy, the calculation gives -3.0725 eV/atom. The density comes out at 4.392 g cm⁻³. For the formation energy from raw total energies, the calculation gives -1.016 eV/atom.

---

(4)
Ca3Np3CoN8: relaxed, PBE.

The space group is R-3m (No. 166, hexagonal axes) and the conventional cell measures 6.6482, 6.6482 and 16.9730 Å, with angles of 90.00, 90.00 and 120.00 degrees. The asymmetric unit holds Ca at (0.0000, 0.5000, 0.0000), Np at (0.0000, 0.5000, 0.5000), Co at (0.0000, 0.0000, 0.5000), N at (0.0000, 0.0000, 0.2426) and N at (0.0086, 0.5043, 0.2315).

For the calculated total energy, the calculation gives -8.7156 eV/atom. The density comes out at 7.685 g cm⁻³. For the formation energy from raw total energies, the calculation gives -0.813 eV/atom.

---

(5)
Pa2Zn3Re: relaxed, PBE.

The space group is C2/m (No. 12) and the conventional cell measures 9.0255, 5.1826 and 5.5495 Å, with angles of 90.00, 122.92 and 90.00 degrees. The asymmetric unit holds Pa at (0.1398, 0.0000, 0.4184), Zn at (0.0000, 0.5000, 0.0000), Zn at (0.2500, 0.2500, 0.0000) and Re at (0.0000, 0.5000, 0.5000).

The energy relative to the elements comes out at -0.12 eV per atom. For the calculated total energy, the calculation gives -5.9995 eV/atom. The density comes out at 12.871 g cm⁻³.

---

(6)
YZrBPt2: relaxed, PBE.

The space group is P4/mmm (No. 123) and the conventional cell measures 5.0531, 5.0531 and 4.4275 Å, with angles of 90.00, 90.00 and 90.00 degrees. The asymmetric unit holds Y at (0.0000, 0.0000, 0.0000), Zr at (0.5000, 0.5000, 0.5000), B at (0.0000, 0.0000, 0.5000) and Pt at (0.0000, 0.5000, 0.0000).

The energy relative to the elements comes out at 0.96 eV per atom. For the calculated total energy, the calculation gives -5.7937 eV/atom. The density comes out at 8.535 g cm⁻³.

---

(7)
BaTc2Os2: relaxed, PBE.

The space group is I4/mmm (No. 139) and the conventional cell measures 4.3860, 4.3860 and 10.6806 Å, with angles of 90.00, 90.00 and 90.00 degrees. The asymmetric unit holds Ba at (0.0000, 0.0000, 0.0000), Tc at (0.0000, 0.0000, 0.3680) and Os at (0.0000, 0.5000, 0.2500).

The energy relative to the elements comes out at 0.53 eV per atom. For the calculated total energy, the calculation gives -8.4897 eV/atom. The density comes out at 11.537 g cm⁻³. As for the relative energy among the computed polymorphs: 0.0 kJ per mole of atoms.

---

(8)
TbErIrRu: relaxed, PBE.

The space group is Pmmm (No. 47) and the conventional cell measures 3.3950, 4.8100 and 4.8277 Å, with angles of 90.00, 90.00 and 90.00 degrees. The asymmetric unit holds Tb at (0.0000, 0.0000, 0.0000), Er at (0.0000, 0.5000, 0.5000), Ir at (0.5000, 0.0000, 0.5000) and Ru at (0.5000, 0.5000, 0.0000).

The energy relative to the elements comes out at -0.61 eV per atom. For the calculated total energy, the calculation gives -7.4414 eV/atom. The density comes out at 13.048 g cm⁻³. As for the relative energy among the computed polymorphs: 1.2 kJ per mole of atoms.

---

(9)
TaRhW2: relaxed, PBE.

The space group is Pmmm (No. 47) and the conventional cell measures 2.7867, 4.0136 and 5.8312 Å, with angles of 90.00, 90.00 and 90.00 degrees. The asymmetric unit holds Ta at (0.0000, 0.0000, 0.0000), Rh at (0.0000, 0.0000, 0.5000) and W at (0.5000, 0.5000, 0.2621).

The energy relative to the elements comes out at 0.13 eV per atom. For the calculated total energy, the calculation gives -11.1435 eV/atom. The density comes out at 16.589 g cm⁻³. As for the relative energy among the computed polymorphs: 22.2 kJ per mole of atoms.

---

(10)
Cd4CuAu7: relaxed, PBE.

The space group is P-1 (No. 2) and the conventional cell measures 5.0389, 5.7298 and 9.4948 Å, with angles of 83.45, 80.12 and 64.98 degrees. The asymmetric unit holds Cd at (0.1393, 0.0848, 0.2319), Cd at (0.1926, 0.3111, 0.6670), Cu at (0.5000, 0.5000, 0.0000), Au at (0.0000, 0.5000, 0.0000), Au at (0.2212, 0.7530, 0.4861), Au at (0.2765, 0.9924, 0.9232) and Au at (0.4586, 0.3948, 0.2740).

The energy relative to the elements comes out at -0.06 eV per atom. For the calculated total energy, the calculation gives -2.6214 eV/atom. The density comes out at 12.851 g cm⁻³.

---

(11)
YbAl2Ge2: relaxed, PBE.

The space group is P-3m1 (No. 164) and the conventional cell measures 4.2135, 4.2135 and 6.9170 Å, with angles of 90.00, 90.00 and 120.00 degrees. The asymmetric unit holds Yb at (0.0000, 0.0000, 0.0000), Al at (0.3333, 0.6667, 0.6345) and Ge at (0.3333, 0.6667, 0.2547).

The energy relative to the elements comes out at -0.42 eV per atom. For the calculated total energy, the calculation gives -4.0707 eV/atom. The density comes out at 5.813 g cm⁻³.

---

(12)
ZnTcSe2: relaxed, PBE.

The space group is C2/m (No. 12) and the conventional cell measures 12.6723, 3.5286 and 8.9248 Å, with angles of 90.00, 127.23 and 90.00 degrees. The asymmetric unit holds Zn at (0.0733, 0.0000, 0.4477), Tc at (0.1909, 0.0000, 0.8443), Se at (0.0713, 0.5000, 0.8826) and Se at (0.2427, 0.5000, 0.6717).

For the calculated total energy, the calculation gives -4.9325 eV/atom. The density comes out at 6.717 g cm⁻³. For the formation energy from raw total energies, the calculation gives -0.280 eV/atom. As for the relative energy among the computed polymorphs: 0.0 kJ per mole of atoms.

---

(13)
P2HIrAu: relaxed, PBE.

The space group is P1 (No. 1) and the conventional cell measures 3.8822, 4.4916 and 5.3830 Å, with angles of 87.51, 89.95 and 78.95 degrees. The asymmetric unit holds P at (0.0000, 0.0000, 0.0000), P at (0.4138, 0.6051, 0.0842), H at (0.8525, 0.0045, 0.2438), Ir at (0.9279, 0.5051, 0.8772) and Au at (0.4279, 0.4996, 0.5175).

For the calculated total energy, the calculation gives -5.2634 eV/atom. The density comes out at 8.158 g cm⁻³. As for the relative energy among the computed polymorphs: 10.4 kJ per mole of atoms.

---

(14)
Pm3Mg4Sn4: relaxed, PBE.

The space group is Immm (No. 71) and the conventional cell measures 4.5416, 8.2594 and 15.4829 Å, with angles of 90.00, 90.00 and 90.00 degrees. The asymmetric unit holds Pm at (0.0000, 0.0000, 0.0000), Pm at (0.0000, 0.5000, 0.1145), Mg at (0.0000, 0.3066, 0.3259), Sn at (0.0000, 0.0000, 0.2248) and Sn at (0.0000, 0.2085, 0.5000).

The energy relative to the elements comes out at -0.49 eV per atom. For the calculated total energy, the calculation gives -3.8250 eV/atom. The density comes out at 5.759 g cm⁻³.

---

(15)
TlZnAgH2: relaxed, PBE.

The space group is P4/mmm (No. 123) and the conventional cell measures 3.9051, 3.9051 and 5.3525 Å, with angles of 90.00, 90.00 and 90.00 degrees. The asymmetric unit holds Tl at (0.0000, 0.0000, 0.0000), Zn at (0.5000, 0.5000, 0.0000), Ag at (0.5000, 0.5000, 0.5000) and H at (0.0000, 0.5000, 0.5000).

For the calculated total energy, the calculation gives -2.2386 eV/atom. The density comes out at 7.724 g cm⁻³.

---

(16)
PdCl3F: relaxed, PBE.

The space group is Pm-3m (No. 221) and the conventional cell measures 4.7920, 4.7920 and 4.7920 Å, with angles of 90.00, 90.00 and 90.00 degrees. The asymmetric unit holds Pd at (0.0000, 0.0000, 0.0000), Cl at (0.0000, 0.0000, 0.5000) and F at (0.5000, 0.5000, 0.5000).

For the calculated total energy, the calculation gives -2.5209 eV/atom. The density comes out at 3.498 g cm⁻³. For the formation energy from raw total energies, the calculation gives 0.000 eV/atom. As for the relative energy among the computed polymorphs: 42.8 kJ per mole of atoms.

---

(17)
Ba2LiPtI: relaxed, PBE.

The space group is P4/mmm (No. 123) and the conventional cell measures 6.2154, 6.2154 and 4.8765 Å, with angles of 90.00, 90.00 and 90.00 degrees. The asymmetric unit holds Ba at (0.0000, 0.5000, 0.0000), Li at (0.0000, 0.0000, 0.5000), Pt at (0.0000, 0.0000, 0.0000) and I at (0.5000, 0.5000, 0.5000).

For the calculated total energy, the calculation gives -3.4399 eV/atom. The density comes out at 5.320 g cm⁻³. For the formation energy from raw total energies, the calculation gives -0.770 eV/atom. As for the relative energy among the computed polymorphs: 0.0 kJ per mole of atoms.

---

(18)
Pm3InSi2Pd9: relaxed, PBE.

The space group is P-3m1 (No. 164) and the conventional cell measures 5.8123, 5.8123 and 11.1565 Å, with angles of 90.00, 90.00 and 120.00 degrees. The asymmetric unit holds Pm at (0.0000, 0.0000, 0.0000), Pm at (0.3333, 0.6667, 0.7505), In at (0.0000, 0.0000, 0.5000), Si at (0.3333, 0.6667, 0.1586), Pd at (0.0000, 0.5000, 0.0000) and Pd at (0.1594, 0.3189, 0.3002).

For the calculated total energy, the calculation gives -5.6011 eV/atom. The density comes out at 7.955 g cm⁻³. For the formation energy from raw total energies, the calculation gives -0.630 eV/atom.

---

(19)
TaCoAg2: relaxed, PBE.

The space group is I-4m2 (No. 119) and the conventional cell measures 4.0313, 4.0313 and 7.7020 Å, with angles of 90.00, 90.00 and 90.00 degrees. The asymmetric unit holds Ta at (0.0000, 0.0000, 0.0000), Co at (0.0000, 0.5000, 0.2500), Ag at (0.0000, 0.0000, 0.5000) and Ag at (0.0000, 0.5000, 0.7500).

The energy relative to the elements comes out at 0.39 eV per atom. For the calculated total energy, the calculation gives -5.7740 eV/atom. The density comes out at 12.089 g cm⁻³. As for the relative energy among the computed polymorphs: 22.8 kJ per mole of atoms.

---

(20)
La6PmPr2Sm: relaxed, PBE.

The space group is C2/c (No. 15) and the conventional cell measures 9.9457, 15.5304 and 9.3413 Å, with angles of 90.00, 90.26 and 90.00 degrees. The asymmetric unit holds La at (0.0742, 0.1469, 0.0939), La at (0.0738, 0.3504, 0.9081), La at (0.2483, 0.2815, 0.3188), Pm at (0.0000, 0.4306, 0.2500), Pr at (0.2501, 0.0452, 0.4353) and Sm at (0.0000, 0.0716, 0.7500).

The energy relative to the elements comes out at 0.10 eV per atom. For the calculated total energy, the calculation gives -4.7571 eV/atom. The density comes out at 6.494 g cm⁻³.

---

(21)
Th2GaCoAu: relaxed, PBE.

The space group is P2_1/m (No. 11) and the conventional cell measures 7.4385, 4.2290 and 7.6063 Å, with angles of 90.00, 111.44 and 90.00 degrees. The asymmetric unit holds Th at (0.0269, 0.2500, 0.2180), Th at (0.3500, 0.7500, 0.6097), Ga at (0.3413, 0.2500, 0.9403), Co at (0.1017, 0.2500, 0.6091) and Au at (0.3259, 0.7500, 0.1767).

The energy relative to the elements comes out at -0.54 eV per atom. For the calculated total energy, the calculation gives -6.1853 eV/atom. The density comes out at 11.776 g cm⁻³.

---

(22)
Ba2CoCu: relaxed, PBE.

The space group is Amm2 (No. 38) and the conventional cell measures 4.4438, 4.5848 and 12.4112 Å, with angles of 90.00, 90.00 and 90.00 degrees. The asymmetric unit holds Ba at (0.0000, 0.0000, 0.0000), Ba at (0.5000, 0.0000, 0.2722), Co at (0.0000, 0.0000, 0.6663) and Cu at (0.5000, 0.0000, 0.5911).

The energy relative to the elements comes out at 0.24 eV per atom. For the calculated total energy, the calculation gives -3.5267 eV/atom. The density comes out at 5.216 g cm⁻³. As for the relative energy among the computed polymorphs: 0.0 kJ per mole of atoms.

---

(23)
LiZr5In6: relaxed, PBE.

The space group is Immm (No. 71) and the conventional cell measures 4.4362, 8.7960 and 13.4313 Å, with angles of 90.00, 90.00 and 90.00 degrees. The asymmetric unit holds Li at (0.0000, 0.0000, 0.0000), Zr at (0.0000, 0.0000, 0.3352), Zr at (0.0000, 0.5000, 0.0000), Zr at (0.0000, 0.5000, 0.3355), In at (0.0000, 0.2467, 0.1661) and In at (0.0000, 0.2566, 0.5000).

The energy relative to the elements comes out at -0.29 eV per atom. For the calculated total energy, the calculation gives -5.3780 eV/atom. The density comes out at 7.300 g cm⁻³.

---

(24)
LiAc2Ge3: relaxed, PBE.

The space group is Pmm2 (No. 25) and the conventional cell measures 4.5035, 4.5361 and 7.5428 Å, with angles of 90.00, 90.00 and 90.00 degrees. The asymmetric unit holds Li at (0.0000, 0.0000, 0.0000), Ac at (0.0000, 0.5000, 0.3352), Ac at (0.5000, 0.5000, 0.8181), Ge at (0.0000, 0.0000, 0.6637), Ge at (0.5000, 0.0000, 0.1510) and Ge at (0.5000, 0.0000, 0.4874).

The energy relative to the elements comes out at -0.64 eV per atom. For the calculated total energy, the calculation gives -4.6421 eV/atom. The density comes out at 7.316 g cm⁻³. As for the relative energy among the computed polymorphs: 3.6 kJ per mole of atoms.